! WO, optimized geometry, DFT PBE+U; values from VASP
&SYSTEM
  ibrav = 0, nat = 12, ntyp = 2
/
ATOMIC_SPECIES
W 183.84 W.upf
O 16.00 O.upf
CELL_PARAMETERS angstrom
-3.8119 -6.6245 -0.5775
3.5611 -1.9260 -1.4129
1.2987 -1.1719 4.8706
ATOMIC_POSITIONS crystal
W 0.5000 0.2364 0.8601
W 0.7919 0.8039 0.8735
W 0.7081 0.1961 0.3735
W 0.2919 0.1961 0.3735
W 0.2081 0.8039 0.8735
W 0.0000 0.7636 0.3601
O 0.2726 0.6959 0.2829
O 0.2274 0.3041 0.7829
O 0.5000 0.7321 0.8291
O 0.7726 0.3041 0.7829
O 0.0000 0.2679 0.3291
O 0.7274 0.6959 0.2829
! E = -80.287 eV per cell
! V = 14.174 Å³/atom
! symmetry = Pmn2_1 (31)
! E above lowest polymorph = 157 meV/atom